# PBE NpZn8Co4, relaxed
data_NpZn8Co4
_chemical_formula_sum 'Np2 Zn16 Co8'
_space_group_name_H-M_alt 'I 4/m m m'
_space_group_IT_number 139
_space_group_name_Hall '-I 4 2'
_cell_length_a 8.687
_cell_length_b 8.687
_cell_length_c 4.950
_cell_angle_alpha 90.00
_cell_angle_beta 90.00
_cell_angle_gamma 90.00
loop_
_atom_site_label
_atom_site_fract_x
_atom_site_fract_y
_atom_site_fract_z
Np1 0.000 0.000 0.000
Zn1 0.000 0.225 0.500
Zn2 0.000 0.341 0.000
Co1 0.250 0.250 0.250
# **DFT formation energy**: -15 kJ/mol of formula units
# **Size of the total moment**: 16.78 μB per cell